Density functional theory data (GGA+U) for crystalline KMnBiF6 at its relaxed geometry.

a b c (Å): 6.041 6.041 10.715
angles (deg): 90.00 90.00 120.00
Positions (direct):
Mn1 0.667 0.333 0.750
Mn2 0.333 0.667 0.250
F1 0.363 0.380 0.357
F2 0.016 0.637 0.357
F3 0.984 0.620 0.857
F4 0.637 0.016 0.857
F5 0.984 0.363 0.643
F6 0.363 0.984 0.143
F7 0.637 0.620 0.643
F8 0.620 0.984 0.357
F9 0.016 0.380 0.143
F10 0.380 0.363 0.857
F11 0.620 0.637 0.143
F12 0.380 0.016 0.643
K1 0.000 0.000 0.000
K2 0.000 0.000 0.500
Bi1 0.333 0.667 0.750
Bi2 0.667 0.333 0.250

Values from the calculation:
- Total energy: -5.247 eV per atom
- Density: 4.09 Mg/m³